(1)
Compound: Sc2Ni2Ag
Source: the Alexandria database
Functional: SCAN
Structure: single point on PBEsol structure

Properties
- space-group type = No. 127
- N(E_F) (states/eV/cell) = 6.649

Unit cell a=3.276 b=6.947 c=6.947 alpha=90.00 beta=90.00 gamma=90.00
Atoms (fractional coordinates):
Sc 0.500 0.829 0.329
Sc 0.500 0.171 0.671
Ag 0.000 0.500 0.500
Ni 0.000 0.625 0.125
Sc 0.500 0.329 0.171
Sc 0.500 0.671 0.829
Ni 0.000 0.375 0.875
Ni 0.000 0.125 0.375
Ag 0.000 0.000 0.000
Ni 0.000 0.875 0.625



(2)
Compound: Sc2Ni2Ag
Source: the Alexandria database
Functional: SCAN
Structure: single point on PBEsol structure

Properties
- space-group type = No. 139
- N(E_F) (states/eV/cell) = 1.688

Unit cell a=4.787 b=5.018 c=4.787 alpha=61.51 beta=90.00 gamma=118.49
Atoms (fractional coordinates):
Sc 0.250 0.500 0.250
Sc 0.750 0.500 0.750
Ni 0.351 0.701 0.649
Ni 0.649 0.299 0.351
Ag 0.000 0.000 0.000



Which one sits at the bottom of the stability order? (2) does.



(1)
Compound: Ni2AgSe
Source: the Alexandria database
Functional: SCAN
Structure: single point on PBEsol structure

Properties
- space-group type = No. 44
- N(E_F) (states/eV/cell) = 2.328

Unit cell a=3.123 b=4.023 c=5.078 alpha=113.34 beta=107.91 gamma=90.00
Atoms (fractional coordinates):
Ni 0.778 0.278 0.556
Ag 0.234 0.734 0.468
Se 0.471 0.471 0.942
Ni 0.017 0.017 0.034



(2)
Compound: Ni2AgSe
Source: the Alexandria database
Functional: SCAN
Structure: single point on PBEsol structure

Properties
- space-group type = No. 216
- N(E_F) (states/eV/cell) = 2.845

Unit cell a=4.270 b=4.270 c=4.270 alpha=60.00 beta=60.00 gamma=60.00
Atoms (fractional coordinates):
Ni 0.000 0.000 0.000
Se 0.250 0.250 0.250
Ag 0.500 0.500 0.500
Ni 0.750 0.750 0.750



Which one sits at the bottom of the stability order? (2) does.